Record 1
A plane-wave DFT calculation with PBE+U was carried out for crystalline BaCoTeO6 at its relaxed geometry.

Cell: 5.1525 8.8642 5.8753 Å, 90.00 90.47 90.00°
Space group C2 (No. 5)
Asymmetric unit:
1 Ba 0.0000 0.0000 0.0000 [2 per cell]
2 Co 0.0000 0.6698 0.5000 [2 per cell]
3 Te 0.0000 0.3329 0.5000 [2 per cell]
4 O 0.1090 0.5033 0.6880 [4 per cell]
5 O 0.1880 0.8017 0.6869 [4 per cell]
6 O 0.1980 0.1914 0.6875 [4 per cell]

Results
total magnetic moment = 2.1 μB per cell
calculated total energy = -5.901 eV per atom

***

Record 2
A plane-wave DFT calculation with PBE+U was carried out for crystalline Ba2TiCo2O6 at its relaxed geometry.

Cell: 5.9121 5.9121 15.8449 Å, 90.00 90.00 120.00°
Space group R-3m (No. 166, hexagonal axes)
Asymmetric unit:
1 Ba 0.0000 0.0000 0.2266 [6 per cell]
2 Ti 0.0000 0.0000 0.0000 [3 per cell]
3 Co 0.0000 0.0000 0.4287 [6 per cell]
4 O 0.0234 0.5117 0.7425 [18 per cell]

Results
total magnetic moment = 18.0 μB per cell
calculated total energy = -6.795 eV per atom
DOS at the Fermi energy = 0.463 states/eV per atom

***

Record 3
A plane-wave DFT calculation with PBE+U was carried out for crystalline BaTlCoO4 at its relaxed geometry.

Cell: 5.7198 6.0310 7.1790 Å, 90.00 106.28 90.00°
Space group P2_1/m (No. 11)
Asymmetric unit:
1 Ba 0.2359 0.2500 0.4451 [2 per cell]
2 Tl 0.3494 0.2500 0.9826 [2 per cell]
3 Co 0.2155 0.7500 0.1805 [2 per cell]
4 O 0.0011 0.2500 0.0583 [2 per cell]
5 O 0.1252 0.7500 0.3971 [2 per cell]
6 O 0.4782 0.5286 0.2055 [4 per cell]

Results
total magnetic moment = 7.9 μB per cell
calculated total energy = -5.487 eV per atom

***

Record 4
A plane-wave DFT calculation with PBE+U was carried out for crystalline Ba2TlCoO4 at its relaxed geometry.

Cell: 6.3031 6.3031 7.2493 Å, 90.00 90.00 90.00°
Space group I-4m2 (No. 119)
Asymmetric unit:
1 Ba 0.0000 0.0000 0.0000 [2 per cell]
2 Ba 0.0000 0.5000 0.2500 [2 per cell]
3 Tl 0.0000 0.0000 0.5000 [2 per cell]
4 Co 0.0000 0.5000 0.7500 [2 per cell]
5 O 0.2080 0.2920 0.7500 [8 per cell]

Results
total magnetic moment = 4.0 μB per cell
calculated total energy = -5.377 eV per atom
DOS at the Fermi energy = 0.760 states/eV per atom

***

Record 5
A plane-wave DFT calculation with PBE+U was carried out for crystalline Ba2TmCo2O6 at its relaxed geometry.

Cell: 6.0580 6.0580 16.8096 Å, 90.00 90.00 120.00°
Space group R-3m (No. 166, hexagonal axes)
Asymmetric unit:
1 Ba 0.0000 0.0000 0.2207 [6 per cell]
2 Tm 0.0000 0.0000 0.0000 [3 per cell]
3 Co 0.0000 0.0000 0.4354 [6 per cell]
4 O 0.0083 0.5041 0.7508 [18 per cell]

Results
total magnetic moment = 21.0 μB per cell
calculated total energy = -6.515 eV per atom

***

Record 6
A plane-wave DFT calculation with PBE+U was carried out for crystalline Ba2TmCoO5 at its relaxed geometry.

Cell: 3.5228 15.2428 11.2036 Å, 90.00 90.00 90.00°
Space group Cmc2_1 (No. 36)
Asymmetric unit:
1 Ba 0.0000 0.1146 0.0000 [4 per cell]
2 Ba 0.0000 0.1368 0.6476 [4 per cell]
3 Tm 0.0000 0.2007 0.3492 [4 per cell]
4 Co 0.0000 0.4514 0.7594 [4 per cell]
5 O 0.0000 0.0449 0.3376 [4 per cell]
6 O 0.0000 0.2939 0.9754 [4 per cell]
7 O 0.0000 0.3254 0.7168 [4 per cell]
8 O 0.0000 0.3402 0.3284 [4 per cell]
9 O 0.0000 0.4992 0.1169 [4 per cell]

Results
total magnetic moment = 16.2 μB per cell
calculated total energy = -6.664 eV per atom

***

Record 7
A plane-wave DFT calculation with PBE+U was carried out for crystalline Ba3TmCo2O8 at its relaxed geometry.

Cell: 5.9579 5.9579 7.5699 Å, 90.00 90.00 120.00°
Space group P-3m1 (No. 164)
Asymmetric unit:
1 Ba 0.0000 0.0000 0.0000 [1 per cell]
2 Ba 0.3333 0.6667 0.6589 [2 per cell]
3 Tm 0.0000 0.0000 0.5000 [1 per cell]
4 Co 0.3333 0.6667 0.2208 [2 per cell]
5 O 0.1693 0.3385 0.3213 [6 per cell]
6 O 0.3333 0.6667 0.9892 [2 per cell]

Results
total magnetic moment = 9.0 μB per cell
calculated total energy = -6.457 eV per atom
DOS at the Fermi energy = 0.446 states/eV per atom

***

Record 8
A plane-wave DFT calculation with PBE+U was carried out for crystalline Ba2UCoO6 at its relaxed geometry.

Cell: 5.9778 5.9778 14.7067 Å, 90.00 90.00 120.00°
Space group R-3m (No. 166, hexagonal axes)
Asymmetric unit:
1 Ba 0.0000 0.0000 0.2490 [6 per cell]
2 U 0.0000 0.0000 0.0000 [3 per cell]
3 Co 0.0000 0.0000 0.5000 [3 per cell]
4 O 0.0037 0.5019 0.7493 [18 per cell]

Results
total magnetic moment = 8.9 μB per cell
calculated total energy = -7.700 eV per atom

***

Record 9
A plane-wave DFT calculation with PBE+U was carried out for crystalline BaUCo2O8 at its relaxed geometry.

Cell: 7.3863 7.3863 6.4977 Å, 90.00 90.00 90.00°
Space group I-4m2 (No. 119)
Asymmetric unit:
1 Ba 0.0000 0.0000 0.0000 [2 per cell]
2 U 0.0000 0.5000 0.2500 [2 per cell]
3 Co 0.0000 0.0000 0.5000 [2 per cell]
4 Co 0.0000 0.5000 0.7500 [2 per cell]
5 O 0.0000 0.2039 0.3408 [8 per cell]
6 O 0.0000 0.3449 0.9533 [8 per cell]

Results
total magnetic moment = 12.0 μB per cell
calculated total energy = -6.956 eV per atom

***

Record 10
A plane-wave DFT calculation with PBE+U was carried out for crystalline Ba2UCo3O12 at its relaxed geometry.

Cell: 6.8238 6.8238 17.9084 Å, 90.00 90.00 120.00°
Space group R-3m (No. 166, hexagonal axes)
Asymmetric unit:
1 Ba 0.0000 0.0000 0.1074 [6 per cell]
2 U 0.0000 0.0000 0.5000 [3 per cell]
3 Co 0.0000 0.5000 0.0000 [9 per cell]
4 O 0.0336 0.5168 0.1059 [18 per cell]
5 O 0.0597 0.5299 0.3436 [18 per cell]

Results
total magnetic moment = 15.1 μB per cell
calculated total energy = -6.585 eV per atom
DOS at the Fermi energy = 0.274 states/eV per atom

***

Record 11
A plane-wave DFT calculation with PBE+U was carried out for crystalline BaV2CoO8 at its relaxed geometry.

Cell: 5.2063 5.2063 7.3222 Å, 90.00 90.00 120.00°
Space group P-3 (No. 147)
Asymmetric unit:
1 Ba 0.0000 0.0000 0.0000 [1 per cell]
2 V 0.3333 0.6667 0.7090 [2 per cell]
3 Co 0.0000 0.0000 0.5000 [1 per cell]
4 O 0.0447 0.3080 0.6520 [6 per cell]
5 O 0.3333 0.6667 0.9398 [2 per cell]

Results
total magnetic moment = 1.1 μB per cell
calculated total energy = -6.919 eV per atom

***

Record 12
A plane-wave DFT calculation with PBE+U was carried out for crystalline BaCo2WO at its relaxed geometry.

Cell: 5.2291 5.2291 3.9728 Å, 90.00 90.00 90.00°
Space group P4/mmm (No. 123)
Asymmetric unit:
1 Ba 0.0000 0.0000 0.0000 [1 per cell]
2 Co 0.0000 0.5000 0.5000 [2 per cell]
3 W 0.5000 0.5000 0.5000 [1 per cell]
4 O 0.5000 0.5000 0.0000 [1 per cell]

Results
total magnetic moment = 4.0 μB per cell
calculated total energy = -4.583 eV per atom
DOS at the Fermi energy = 0.396 states/eV per atom

***

Record 13
A plane-wave DFT calculation with PBE+U was carried out for crystalline BaCoWO6 at its relaxed geometry.

Cell: 5.1772 8.9169 5.8010 Å, 90.00 90.40 90.00°
Space group C2 (No. 5)
Asymmetric unit:
1 Ba 0.0000 0.0000 0.0000 [2 per cell]
2 Co 0.0000 0.6692 0.5000 [2 per cell]
3 W 0.0000 0.3334 0.5000 [2 per cell]
4 O 0.1046 0.5036 0.6892 [4 per cell]
5 O 0.1908 0.8019 0.6876 [4 per cell]
6 O 0.2004 0.1953 0.6895 [4 per cell]

Results
total magnetic moment = 2.1 μB per cell
calculated total energy = -6.751 eV per atom

***

Record 14
A plane-wave DFT calculation with PBE+U was carried out for crystalline Ba2CoW3O12 at its relaxed geometry.

Cell: 7.3914 7.3914 17.0991 Å, 90.00 90.00 120.00°
Space group R-3m (No. 166, hexagonal axes)
Asymmetric unit:
1 Ba 0.0000 0.0000 0.1593 [6 per cell]
2 Co 0.0000 0.0000 0.5000 [3 per cell]
3 W 0.0000 0.5000 0.0000 [9 per cell]
4 O 0.0826 0.5413 0.3639 [18 per cell]
5 O 0.0842 0.5421 0.1061 [18 per cell]

Results
total magnetic moment = 3.0 μB per cell
calculated total energy = -7.044 eV per atom
DOS at the Fermi energy = 0.140 states/eV per atom

***

Record 15
A plane-wave DFT calculation with PBE+U was carried out for crystalline Ba3Co2WO9 at its relaxed geometry.

Cell: 5.8280 5.8280 14.3574 Å, 90.00 90.00 120.00°
Space group P6_3mc (No. 186)
Asymmetric unit:
1 Ba 0.0000 0.0000 0.0000 [2 per cell]
2 Ba 0.3333 0.6667 0.1742 [2 per cell]
3 Ba 0.3333 0.6667 0.8504 [2 per cell]
4 Co 0.0000 0.0000 0.2761 [2 per cell]
5 Co 0.3333 0.6667 0.4050 [2 per cell]
6 W 0.3333 0.6667 0.5911 [2 per cell]
7 O 0.0396 0.5198 0.4934 [6 per cell]
8 O 0.1708 0.3416 0.3263 [6 per cell]
9 O 0.1724 0.3448 0.6580 [6 per cell]

Results
total magnetic moment = 8.0 μB per cell
calculated total energy = -6.576 eV per atom

***

Record 16
A plane-wave DFT calculation with PBE+U was carried out for crystalline BaY2CoO5 at its relaxed geometry.

Cell: 12.3927 5.7694 7.1552 Å, 90.00 90.00 90.00°
Space group Pnma (No. 62)
Asymmetric unit:
1 Ba 0.1000 0.2500 0.0787 [4 per cell]
2 Y 0.0745 0.7500 0.4006 [4 per cell]
3 Y 0.2084 0.2500 0.6189 [4 per cell]
4 Co 0.1520 0.7500 0.8076 [4 per cell]
5 O 0.0658 0.5044 0.6662 [8 per cell]
6 O 0.1016 0.7500 0.0745 [4 per cell]
7 O 0.2251 0.0015 0.3594 [8 per cell]

Results
total magnetic moment = 12.0 μB per cell
calculated total energy = -7.746 eV per atom
DOS at the Fermi energy = 0.000 states/eV per atom

***

Record 17
A plane-wave DFT calculation with PBE+U was carried out for crystalline BaY2CoO5 at its relaxed geometry.

Cell: 3.7868 5.8422 11.5850 Å, 90.00 90.00 90.00°
Space group Immm (No. 71)
Asymmetric unit:
1 Ba 0.0000 0.0000 0.0000 [2 per cell]
2 Y 0.0000 0.5000 0.2036 [4 per cell]
3 Co 0.0000 0.0000 0.5000 [2 per cell]
4 O 0.0000 0.2416 0.3493 [8 per cell]
5 O 0.0000 0.5000 0.0000 [2 per cell]

Results
total magnetic moment = 6.0 μB per cell
calculated total energy = -7.731 eV per atom

***

Record 18
A plane-wave DFT calculation with PBE+U was carried out for crystalline Ba3YCo2O6 at its relaxed geometry.

Cell: 6.1870 6.1870 6.9633 Å, 90.00 90.00 120.00°
Space group P-3m1 (No. 164)
Asymmetric unit:
1 Ba 0.0000 0.0000 0.0000 [1 per cell]
2 Ba 0.3333 0.6667 0.6612 [2 per cell]
3 Y 0.0000 0.0000 0.5000 [1 per cell]
4 Co 0.3333 0.6667 0.2218 [2 per cell]
5 O 0.1662 0.3323 0.3013 [6 per cell]

Results
total magnetic moment = 5.0 μB per cell
calculated total energy = -6.401 eV per atom
DOS at the Fermi energy = 0.937 states/eV per atom

***

Record 19
A plane-wave DFT calculation with PBE+U was carried out for crystalline Ba2YCo3O7 at its relaxed geometry.

Cell: 3.8495 3.9171 11.6552 Å, 90.00 90.00 90.00°
Space group Pmmm (No. 47)
Asymmetric unit:
1 Ba 0.0000 0.0000 0.1841 [2 per cell]
2 Y 0.0000 0.0000 0.5000 [1 per cell]
3 Co 0.5000 0.5000 0.0000 [1 per cell]
4 Co 0.5000 0.5000 0.3497 [2 per cell]
5 O 0.0000 0.5000 0.3768 [2 per cell]
6 O 0.5000 0.0000 0.0000 [1 per cell]
7 O 0.5000 0.0000 0.3773 [2 per cell]
8 O 0.5000 0.5000 0.1576 [2 per cell]

Results
total magnetic moment = 0.4 μB per cell
calculated total energy = -6.519 eV per atom
DOS at the Fermi energy = 0.309 states/eV per atom